! GGA-PBEsol ZrPt2W, optimized geometry; values from VASP
! Electronic total energy ... -9.320 eV/atom
! ρ ... 16.76 g cm⁻³
! Symmetry ... R3m, No. 160
! Fermi-level density of states ... 3.2 states/eV/f.u.
! Total magnetic moment ... 0.0 μB per formula unit
! E_form ... -0.11 eV per atom
&SYSTEM
  ibrav = 0, nat = 4, ntyp = 3
/
ATOMIC_SPECIES
Pt 195.08 Pt.upf
W 183.84 W.upf
Zr 91.22 Zr.upf
CELL_PARAMETERS angstrom
2.832 0.000 0.000
1.416 2.452 0.000
1.416 0.817 9.489
ATOMIC_POSITIONS angstrom
Pt 1.416 0.817 9.428
Pt 4.248 2.452 7.074
W 2.832 1.635 4.932
Zr 1.416 0.817 2.289


! GGA-PBEsol AgWSe2N, optimized geometry; values from VASP
! Electronic total energy ... -6.420 eV/atom
! ρ ... 8.12 g cm⁻³
! Formation energy (no corrections) ... 0.25 eV/atom
! Symmetry ... P4/mmm, No. 123
! Fermi-level density of states ... 3.2 states/eV/f.u.
! Polymorph energy (0 for the lowest one) ... 0.000 eV/atom
! Total magnetic moment ... 0.0 μB per formula unit
&SYSTEM
  ibrav = 0, nat = 5, ntyp = 4
/
ATOMIC_SPECIES
Se 78.96 Se.upf
Ag 107.87 Ag.upf
W 183.84 W.upf
N 14.01 N.upf
CELL_PARAMETERS angstrom
-1.239 1.948 2.997
-4.712 -1.272 -1.121
0.431 -4.099 2.843
ATOMIC_POSITIONS angstrom
Se 0.215 -2.050 1.421
Se -2.356 -0.636 -0.560
Ag -2.760 -1.712 2.359
W 0.000 0.000 0.000
N -0.619 0.974 1.498


Fermi-level density of states of number 2 (AgWSe2N)? 3.2 states/eV/f.u.


Which formula does entry 2 have? AgWSe2N


Which value of ρ does entry 1 give? 16.76 g cm⁻³